Sc2ZnNi: optimized geometry, PBEsol.

## Properties
Formation energy from the elements, meV/atom: -152
Crystal system: trigonal
DOS(E_F), states/eV per cell: 3.4

Cell: 7.959 7.959 7.959 Å, 23.88 23.88 23.88°
Element x y z (fractional)
1 Sc 0.241 0.241 0.241
2 Sc 0.759 0.759 0.759
3 Zn 0.000 0.000 0.000
4 Ni 0.500 0.500 0.500